Here is a geometry-optimized Li2NdSeN structure from Alexandria. Energies are from PBE.

Lattice parameters (Å, degrees): 6.4097 6.4097 6.4097 124.17 124.17 82.92
Fractional coordinates of all 10 atoms:
Li 0.1921 0.6921 0.8843
Li 0.3079 0.1921 0.5000
Li 0.6921 0.8079 0.5000
Li 0.8079 0.3079 0.1157
Nd 0.2500 0.2500 0.0000
Nd 0.7500 0.7500 0.0000
Se 0.2506 0.7506 0.5000
Se 0.7506 0.2506 0.5000
N 0.0002 0.0002 0.0000
N 0.5002 0.5002 0.0000

## Properties
Fermi-level density of states (states/eV/atom): 0.290
Uncorrected formation energy (eV per atom): -1.08



Here is a geometry-optimized LiPt2W structure from Alexandria. Energies are from PBE.

Lattice parameters (Å, degrees): 5.7688 7.5777 2.7356 90.00 90.00 90.00
Fractional coordinates of all 8 atoms:
Li 0.0000 0.0000 0.0000
Li 0.5000 0.5000 0.0000
Pt 0.2500 0.2500 0.5000
Pt 0.2500 0.7500 0.5000
Pt 0.7500 0.2500 0.5000
Pt 0.7500 0.7500 0.5000
W 0.0000 0.5000 0.0000
W 0.5000 0.0000 0.0000

## Properties
Fermi-level density of states (states/eV/atom): 0.788
Energy relative to the elements (eV/atom): -0.34



Here is a geometry-optimized La2In2Ag structure from Alexandria. Energies are from PBE.

Lattice parameters (Å, degrees): 7.5888 7.5888 5.0500 90.00 90.00 90.00
Fractional coordinates of all 10 atoms:
La 0.1604 0.3396 0.0000
La 0.3396 0.8396 0.0000
La 0.6604 0.1604 0.0000
La 0.8396 0.6604 0.0000
In 0.1428 0.6428 0.5000
In 0.3572 0.1428 0.5000
In 0.6428 0.8572 0.5000
In 0.8572 0.3572 0.5000
Ag 0.0000 0.0000 0.5000
Ag 0.5000 0.5000 0.5000

## Properties
Fermi-level density of states (states/eV/atom): 1.240
Energy relative to the elements (eV/atom): -0.39



Here is a geometry-optimized BOs2CS structure from Alexandria. Energies are from PBE.

Lattice parameters (Å, degrees): 4.3968 4.3968 3.4424 90.00 90.00 90.00
Fractional coordinates of all 5 atoms:
B 0.0000 0.0000 0.0000
Os 0.0000 0.5000 0.5000
Os 0.5000 0.0000 0.5000
C 0.5000 0.5000 0.0000
S 0.0000 0.0000 0.5000

## Properties
Fermi-level density of states (states/eV/atom): 0.610
Uncorrected formation energy (eV per atom): 2.47



Here is a geometry-optimized Ba6SbPt2Br3 structure from Alexandria. Energies are from PBE.

Lattice parameters (Å, degrees): 10.8977 10.8977 9.9213 106.15 106.15 25.02
Fractional coordinates of all 12 atoms:
Ba 0.0125 0.0125 0.2491
Ba 0.3230 0.3230 0.4360
Ba 0.3335 0.3335 0.8863
Ba 0.6665 0.6665 0.1137
Ba 0.6770 0.6770 0.5640
Ba 0.9875 0.9875 0.7509
Sb 0.5000 0.5000 0.0000
Pt 0.1695 0.1695 0.3384
Pt 0.8305 0.8305 0.6616
Br 0.1634 0.1634 0.8359
Br 0.5000 0.5000 0.5000
Br 0.8366 0.8366 0.1641

## Properties
Fermi-level density of states (states/eV/atom): 0.615
Uncorrected formation energy (eV per atom): -1.34



Here is a geometry-optimized KCaTa2Au structure from Alexandria. Energies are from PBE.

Lattice parameters (Å, degrees): 4.7593 4.7593 5.4519 90.00 90.00 90.00
Fractional coordinates of all 5 atoms:
K 0.0000 0.0000 0.0000
Ca 0.5000 0.5000 0.5000
Ta 0.0000 0.5000 0.0000
Ta 0.5000 0.0000 0.0000
Au 0.0000 0.0000 0.5000

## Properties
Fermi-level density of states (states/eV/atom): 0.798
Energy relative to the elements (eV/atom): 2.23